Here is a relaxed structure of Y2Ga4Cu3Pt from Alexandria. Energies are from PBE.

Cell: 4.137 4.137 10.297 Å, 90.00 90.00 90.00°
Fractional coordinates of all 10 atoms:
1 Y 0.500 0.000 0.248
2 Y 0.000 0.500 0.752
3 Ga 0.500 0.500 0.000
4 Ga 0.000 0.000 0.000
5 Ga 0.500 0.000 0.637
6 Ga 0.000 0.500 0.363
7 Cu 0.000 0.000 0.500
8 Cu 0.500 0.000 0.867
9 Cu 0.000 0.500 0.133
10 Pt 0.500 0.500 0.500

Calculated values
**SG**: No. 115
**Total magnetization**: 0.0 μB/f.u.
**E**: -4.90 eV per atom
**Formation energy**: -0.57 eV/atom

---

Here is a relaxed structure of YGaCuPt2 from Alexandria. Energies are from PBE.

Cell: 3.799 3.799 6.860 Å, 106.07 106.07 90.00°
Fractional coordinates of all 5 atoms:
1 Y 0.000 0.000 0.000
2 Ga 0.750 0.250 0.500
3 Cu 0.250 0.750 0.500
4 Pt 0.608 0.608 0.216
5 Pt 0.392 0.392 0.784

Calculated values
**SG**: No. 119
**Total magnetization**: 0.0 μB/f.u.
**E**: -5.93 eV per atom
**Formation energy**: -0.79 eV/atom

---

Here is a relaxed structure of Y2Ga4CuPt3 from Alexandria. Energies are from PBE.

Cell: 4.124 4.124 10.905 Å, 90.00 90.00 90.00°
Fractional coordinates of all 10 atoms:
1 Y 0.500 0.000 0.250
2 Y 0.000 0.500 0.750
3 Ga 0.500 0.500 0.000
4 Ga 0.000 0.000 0.000
5 Ga 0.500 0.000 0.631
6 Ga 0.000 0.500 0.369
7 Cu 0.500 0.500 0.500
8 Pt 0.000 0.000 0.500
9 Pt 0.500 0.000 0.859
10 Pt 0.000 0.500 0.141

Calculated values
**SG**: No. 115
**Total magnetization**: 0.0 μB/f.u.
**E**: -5.57 eV per atom
**Formation energy**: -0.85 eV/atom

---

Here is a relaxed structure of Y2Ga2CuPt5 from Alexandria. Energies are from PBE.

Cell: 3.706 9.740 9.740 Å, 90.00 90.00 90.00°
Fractional coordinates of all 20 atoms:
1 Y 0.000 0.675 0.175
2 Y 0.000 0.325 0.825
3 Y 0.000 0.175 0.325
4 Y 0.000 0.825 0.675
5 Ga 0.000 0.125 0.625
6 Ga 0.000 0.875 0.375
7 Ga 0.000 0.625 0.875
8 Ga 0.000 0.375 0.125
9 Cu 0.000 0.000 0.000
10 Cu 0.000 0.500 0.500
11 Pt 0.500 0.200 0.060
12 Pt 0.500 0.800 0.940
13 Pt 0.500 0.060 0.800
14 Pt 0.500 0.700 0.440
15 Pt 0.500 0.940 0.200
16 Pt 0.500 0.300 0.560
17 Pt 0.500 0.560 0.700
18 Pt 0.500 0.440 0.300
19 Pt 0.500 0.500 0.000
20 Pt 0.500 0.000 0.500

Calculated values
**SG**: No. 127
**Total magnetization**: 0.0 μB/f.u.
**E**: -6.11 eV per atom
**Formation energy**: -0.78 eV/atom